[1]
Entry from OQMD via LeMat-Bulk: a geometry-optimized ZnFeSbPt structure (PBE).

Spin magnetization   2.04 μB/f.u.
Calculated total energy   -4.97 eV per atom
E above lowest polymorph   0.0 kJ/mol of atoms
Volume   64 Å³ per cell

a = 4.4796 Å, b = 4.4796 Å, c = 4.4796 Å
α = 60.00°, β = 60.00°, γ = 60.00°
Element x y z (fractional)
Zn 0.0000 0.0000 0.0000
Fe 0.7500 0.7500 0.7500
Sb 0.5000 0.5000 0.5000
Pt 0.2500 0.2500 0.2500

[2]
Entry from OQMD via LeMat-Bulk: a geometry-optimized Zr2FeSb2Pt structure (PBE).

Spin magnetization   0.00 μB/f.u.
Calculated total energy   -7.42 eV per atom
Volume   246 Å³ per cell

a = 7.6477 Å, b = 7.6477 Å, c = 7.6477 Å
α = 131.44°, β = 131.44°, γ = 71.12°
Element x y z (fractional)
Zr 0.1150 0.1250 0.4900
Zr 0.3750 0.8850 0.0100
Zr 0.6350 0.6250 0.5100
Zr 0.8750 0.3650 0.9900
Fe 0.0000 0.0000 0.0000
Fe 0.7500 0.2500 0.5000
Sb 0.1065 0.6250 0.9815
Sb 0.3750 0.3565 0.4815
Sb 0.6435 0.1250 0.0185
Sb 0.8750 0.8935 0.5185
Pt 0.2500 0.7500 0.5000
Pt 0.5000 0.5000 0.0000

[3]
Entry from OQMD via LeMat-Bulk: a geometry-optimized ScFePt2 structure (PBE).

Spin magnetization   2.89 μB/f.u.
Calculated total energy   -7.21 eV per atom
DFT formation energy   -201 kJ/mol of formula units
Volume   63 Å³ per cell

a = 4.4755 Å, b = 4.4755 Å, c = 4.4755 Å
α = 60.00°, β = 60.00°, γ = 60.00°
Element x y z (fractional)
Sc 0.0000 0.0000 0.0000
Fe 0.2500 0.2500 0.2500
Pt 0.5000 0.5000 0.5000
Pt 0.7500 0.7500 0.7500

[4]
Entry from OQMD via LeMat-Bulk: a geometry-optimized ScTlFePt structure (PBE).

Spin magnetization   2.85 μB/f.u.
Calculated total energy   -5.92 eV per atom
E above lowest polymorph   6.5 kJ/mol of atoms
Volume   69 Å³ per cell

a = 4.6074 Å, b = 4.6074 Å, c = 4.6074 Å
α = 60.00°, β = 60.00°, γ = 60.00°
Element x y z (fractional)
Sc 0.0000 0.0000 0.0000
Tl 0.2500 0.2500 0.2500
Fe 0.5000 0.5000 0.5000
Pt 0.7500 0.7500 0.7500

[5]
Entry from OQMD via LeMat-Bulk: a geometry-optimized ScTlFePt structure (PBE).

Spin magnetization   2.04 μB/f.u.
Calculated total energy   -5.98 eV per atom
E above lowest polymorph   0.0 kJ/mol of atoms
Volume   70 Å³ per cell

a = 4.6272 Å, b = 4.6272 Å, c = 4.6272 Å
α = 60.00°, β = 60.00°, γ = 60.00°
Element x y z (fractional)
Sc 0.0000 0.0000 0.0000
Tl 0.5000 0.5000 0.5000
Fe 0.7500 0.7500 0.7500
Pt 0.2500 0.2500 0.2500

[6]
Entry from OQMD via LeMat-Bulk: a geometry-optimized FePt3Se6 structure (PBE).

Spin magnetization   3.44 μB/f.u.
Calculated total energy   -4.94 eV per atom
Volume   215 Å³ per cell

a = 7.6666 Å, b = 7.6666 Å, c = 3.8516 Å
α = 90.00°, β = 90.00°, γ = 108.51°
Element x y z (fractional)
Fe 0.0000 0.0000 0.0000
Pt 0.0000 0.5000 0.5000
Pt 0.5000 0.0000 0.5000
Pt 0.5000 0.5000 0.0000
Se 0.1450 0.8550 0.5000
Se 0.1661 0.4112 0.0000
Se 0.4112 0.1661 0.0000
Se 0.5888 0.8339 0.0000
Se 0.8339 0.5888 0.0000
Se 0.8550 0.1450 0.5000

[7]
Entry from OQMD via LeMat-Bulk: a geometry-optimized Tb2FeSi4Pt structure (PBE).

Spin magnetization   0.01 μB/f.u.
Calculated total energy   -6.47 eV per atom
Volume   139 Å³ per cell

a = 4.0930 Å, b = 8.5732 Å, c = 8.5732 Å
α = 27.54°, β = 90.00°, γ = 90.00°
Element x y z (fractional)
Tb 0.0000 0.0000 0.0000
Tb 0.5000 0.2075 0.2075
Fe 0.0000 0.7819 0.7819
Si 0.0000 0.3441 0.3441
Si 0.0000 0.6477 0.6477
Si 0.5000 0.5701 0.5701
Si 0.5000 0.8429 0.8429
Pt 0.5000 0.4278 0.4278

[8]
Entry from OQMD via LeMat-Bulk: a geometry-optimized YFeSiPt structure (PBE).

Spin magnetization   1.49 μB/f.u.
Calculated total energy   -6.91 eV per atom
E above lowest polymorph   0.0 kJ/mol of atoms
Volume   65 Å³ per cell

a = 4.5218 Å, b = 4.5218 Å, c = 4.5218 Å
α = 60.00°, β = 60.00°, γ = 60.00°
Element x y z (fractional)
Y 0.0000 0.0000 0.0000
Fe 0.7500 0.7500 0.7500
Si 0.5000 0.5000 0.5000
Pt 0.2500 0.2500 0.2500

[9]
Entry from OQMD via LeMat-Bulk: a geometry-optimized YFeSiPt structure (PBE).

Spin magnetization   3.04 μB/f.u.
Calculated total energy   -6.82 eV per atom
E above lowest polymorph   9.0 kJ/mol of atoms
Volume   70 Å³ per cell

a = 4.6277 Å, b = 4.6277 Å, c = 4.6277 Å
α = 60.00°, β = 60.00°, γ = 60.00°
Element x y z (fractional)
Y 0.0000 0.0000 0.0000
Fe 0.5000 0.5000 0.5000
Si 0.2500 0.2500 0.2500
Pt 0.7500 0.7500 0.7500

[10]
Entry from OQMD via LeMat-Bulk: a geometry-optimized ZnFeSiPt structure (PBE).

Spin magnetization   2.38 μB/f.u.
Calculated total energy   -5.30 eV per atom
E above lowest polymorph   22.5 kJ/mol of atoms
Volume   55 Å³ per cell

a = 4.2729 Å, b = 4.2729 Å, c = 4.2729 Å
α = 60.00°, β = 60.00°, γ = 60.00°
Element x y z (fractional)
Zn 0.0000 0.0000 0.0000
Fe 0.5000 0.5000 0.5000
Si 0.2500 0.2500 0.2500
Pt 0.7500 0.7500 0.7500

[11]
Entry from OQMD via LeMat-Bulk: a geometry-optimized ZnFeSiPt structure (PBE).

Spin magnetization   0.77 μB/f.u.
Calculated total energy   -5.54 eV per atom
E above lowest polymorph   0.0 kJ/mol of atoms
Volume   51 Å³ per cell

a = 4.1711 Å, b = 4.1711 Å, c = 4.1711 Å
α = 60.00°, β = 60.00°, γ = 60.00°
Element x y z (fractional)
Zn 0.0000 0.0000 0.0000
Fe 0.7500 0.7500 0.7500
Si 0.5000 0.5000 0.5000
Pt 0.2500 0.2500 0.2500

[12]
Entry from OQMD via LeMat-Bulk: a geometry-optimized ZrFeSiPt structure (PBE).

Spin magnetization   1.86 μB/f.u.
Calculated total energy   -7.56 eV per atom
E above lowest polymorph   0.0 kJ/mol of atoms
Volume   61 Å³ per cell

a = 4.4266 Å, b = 4.4266 Å, c = 4.4266 Å
α = 60.00°, β = 60.00°, γ = 60.00°
Element x y z (fractional)
Zr 0.0000 0.0000 0.0000
Fe 0.7500 0.7500 0.7500
Si 0.5000 0.5000 0.5000
Pt 0.2500 0.2500 0.2500

[13]
Entry from OQMD via LeMat-Bulk: a geometry-optimized ZrFeSiPt structure (PBE).

Spin magnetization   2.52 μB/f.u.
Calculated total energy   -7.44 eV per atom
E above lowest polymorph   11.9 kJ/mol of atoms
Volume   64 Å³ per cell

a = 4.4831 Å, b = 4.4831 Å, c = 4.4831 Å
α = 60.00°, β = 60.00°, γ = 60.00°
Element x y z (fractional)
Zr 0.0000 0.0000 0.0000
Fe 0.5000 0.5000 0.5000
Si 0.2500 0.2500 0.2500
Pt 0.7500 0.7500 0.7500

[14]
Entry from OQMD via LeMat-Bulk: a geometry-optimized SmFePt structure (PBE).

Spin magnetization   2.98 μB/f.u.
Calculated total energy   -6.56 eV per atom
DFT formation energy   -59 kJ/mol of formula units
Volume   69 Å³ per cell

a = 4.6018 Å, b = 4.6018 Å, c = 4.6018 Å
α = 60.00°, β = 60.00°, γ = 60.00°
Element x y z (fractional)
Sm 0.0000 0.0000 0.0000
Fe 0.5000 0.5000 0.5000
Pt 0.7500 0.7500 0.7500

[15]
Entry from OQMD via LeMat-Bulk: a geometry-optimized SmFePt structure (PBE).

Spin magnetization   2.94 μB/f.u.
Calculated total energy   -5.97 eV per atom
DFT formation energy   111 kJ/mol of formula units
Volume   70 Å³ per cell

a = 4.6249 Å, b = 4.6249 Å, c = 4.6249 Å
α = 60.00°, β = 60.00°, γ = 60.00°
Element x y z (fractional)
Sm 0.0000 0.0000 0.0000
Fe 0.7500 0.7500 0.7500
Pt 0.2500 0.2500 0.2500

[16]
Entry from OQMD via LeMat-Bulk: a geometry-optimized Fe3Sn2Pt2 structure (PBE).

Spin magnetization   8.22 μB/f.u.
Calculated total energy   -6.52 eV per atom
Volume   247 Å³ per cell

a = 4.2753 Å, b = 4.2753 Å, c = 15.6182 Å
α = 90.00°, β = 90.00°, γ = 120.00°
Element x y z (fractional)
Fe 0.0000 0.0000 0.1742
Fe 0.0000 0.0000 0.3258
Fe 0.0000 0.0000 0.6742
Fe 0.0000 0.0000 0.8258
Fe 0.3333 0.6667 0.2500
Fe 0.6667 0.3333 0.7500
Sn 0.3333 0.6667 0.5774
Sn 0.3333 0.6667 0.9226
Sn 0.6667 0.3333 0.0774
Sn 0.6667 0.3333 0.4226
Pt 0.0000 0.0000 0.0000
Pt 0.0000 0.0000 0.5000
Pt 0.3333 0.6667 0.7500
Pt 0.6667 0.3333 0.2500

[17]
Entry from OQMD via LeMat-Bulk: a geometry-optimized FeSn2Pt structure (PBE).

Spin magnetization   2.96 μB/f.u.
Calculated total energy   -5.33 eV per atom
Volume   77 Å³ per cell

a = 4.7769 Å, b = 4.7769 Å, c = 4.7769 Å
α = 60.00°, β = 60.00°, γ = 60.00°
Element x y z (fractional)
Fe 0.0000 0.0000 0.0000
Sn 0.2500 0.2500 0.2500
Sn 0.5000 0.5000 0.5000
Pt 0.7500 0.7500 0.7500

[18]
Entry from OQMD via LeMat-Bulk: a geometry-optimized TaFeSnPt structure (PBE).

Spin magnetization   1.74 μB/f.u.
Calculated total energy   -7.67 eV per atom
E above lowest polymorph   0.0 kJ/mol of atoms
Volume   66 Å³ per cell

a = 4.5393 Å, b = 4.5393 Å, c = 4.5393 Å
α = 60.00°, β = 60.00°, γ = 60.00°
Element x y z (fractional)
Ta 0.0000 0.0000 0.0000
Fe 0.7500 0.7500 0.7500
Sn 0.5000 0.5000 0.5000
Pt 0.2500 0.2500 0.2500

[19]
Entry from OQMD via LeMat-Bulk: a geometry-optimized TaFeSnPt structure (PBE).

Spin magnetization   1.80 μB/f.u.
Calculated total energy   -7.53 eV per atom
E above lowest polymorph   14.1 kJ/mol of atoms
Volume   67 Å³ per cell

a = 4.5546 Å, b = 4.5546 Å, c = 4.5546 Å
α = 60.00°, β = 60.00°, γ = 60.00°
Element x y z (fractional)
Ta 0.0000 0.0000 0.0000
Fe 0.5000 0.5000 0.5000
Sn 0.2500 0.2500 0.2500
Pt 0.7500 0.7500 0.7500

[20]
Entry from OQMD via LeMat-Bulk: a geometry-optimized Ta2FeSn2Pt structure (PBE).

Spin magnetization   0.00 μB/f.u.
Calculated total energy   -8.02 eV per atom
Volume   230 Å³ per cell

a = 7.4751 Å, b = 7.4751 Å, c = 7.4751 Å
α = 131.46°, β = 131.46°, γ = 71.09°
Element x y z (fractional)
Ta 0.1103 0.6250 0.9853
Ta 0.3750 0.3603 0.4853
Ta 0.6397 0.1250 0.0147
Ta 0.8750 0.8897 0.5147
Fe 0.0000 0.0000 0.0000
Fe 0.7500 0.2500 0.5000
Sn 0.1108 0.1250 0.4858
Sn 0.3750 0.8892 0.0142
Sn 0.6392 0.6250 0.5142
Sn 0.8750 0.3608 0.9858
Pt 0.2500 0.7500 0.5000
Pt 0.5000 0.5000 0.0000